No. 1
This record from the Alexandria database describes crystalline Cs2PuTeS4 at its relaxed geometry. The functional is GGA-PBE. Values from VASP.

Properties
Its space-group type is I-4 (82). As for the total moment: 4.2 μB per formula unit. Its density of states at the Fermi level is 14.94 states/eV per cell. The value obtained for the uncorrected formation energy is -6.7 eV/f.u. The calculation puts the volume at 36.57 A^3/atom. Its total energy is -5.298 eV/atom.

The structure in Quantum ESPRESSO input format:
```
&SYSTEM
  ibrav = 0, nat = 8, ntyp = 4
/
ATOMIC_SPECIES
Te 127.60 Te.upf
Cs 132.91 Cs.upf
S 32.06 S.upf
Pu 244.00 Pu.upf
CELL_PARAMETERS angstrom
7.239 0.241 0.369
-2.867 6.652 -0.369
-2.867 -3.015 5.941
ATOMIC_POSITIONS angstrom
Te -2.867 1.819 2.786
Cs 0.753 4.355 1.393
S 4.202 3.554 0.948
S -1.442 3.644 4.116
S 2.074 0.788 2.675
Pu 0.753 -0.478 4.548
S -1.822 -0.230 4.143
Cs 0.000 0.000 0.000
```



No. 2
This record from the Alexandria database describes crystalline Na3Cd2In4Hg2 at its relaxed geometry. The functional is GGA-PBE. Values from VASP.

Properties
Its space-group type is P-3m1 (164). As for the total moment: 0.0 μB per formula unit. Its density of states at the Fermi level is 5.09 states/eV per cell. For the formation energy, the calculation gives -103 meV/atom. The calculation puts the volume at 27.22 A^3/atom. Its total energy is -1.680 eV/atom.

The structure in Quantum ESPRESSO input format:
```
&SYSTEM
  ibrav = 0, nat = 11, ntyp = 4
/
ATOMIC_SPECIES
In 114.82 In.upf
Na 22.99 Na.upf
Cd 112.41 Cd.upf
Hg 200.59 Hg.upf
CELL_PARAMETERS angstrom
-0.923 2.988 -3.940
1.838 -4.626 -0.727
-12.716 -4.933 -0.761
ATOMIC_POSITIONS angstrom
In -4.423 -4.160 -2.118
Na 0.000 0.000 0.000
In -1.726 -0.218 -2.972
Na -3.341 -1.296 -0.200
Cd -7.207 -5.240 -2.284
In -7.378 -2.411 -3.310
Na -9.375 -3.637 -0.561
Hg -0.630 -2.688 -1.891
In -10.076 -6.352 -2.456
Hg -11.172 -3.883 -3.537
Cd -4.594 -1.331 -3.144
```



No. 3
This record from the Alexandria database describes crystalline Pm2NpAgS5 at its relaxed geometry. The functional is GGA-PBE. Values from VASP.

Properties
Its space-group type is Cmc2_1 (36). As for the total moment: 3.9 μB per formula unit. Its density of states at the Fermi level is 19.16 states/eV per cell. The value obtained for the uncorrected formation energy is -13.2 eV/f.u. The calculation puts the volume at 22.14 A^3/atom. Its total energy is -6.569 eV/atom.

The structure in Quantum ESPRESSO input format:
```
&SYSTEM
  ibrav = 0, nat = 18, ntyp = 4
/
ATOMIC_SPECIES
S 32.06 S.upf
Np 237.00 Np.upf
Ag 107.87 Ag.upf
Pm 145.00 Pm.upf
CELL_PARAMETERS angstrom
3.972 0.000 0.000
-1.986 8.249 0.000
0.000 0.000 12.165
ATOMIC_POSITIONS angstrom
S 0.000 5.021 4.167
Np 0.000 3.189 0.049
S 1.986 0.000 3.320
Ag 0.000 7.833 5.712
Pm 0.000 1.887 8.351
S 0.000 8.249 9.403
S 1.986 2.329 6.086
S 1.986 3.227 10.249
Pm 0.000 2.071 3.680
Ag 1.986 0.416 11.795
S 0.000 0.748 1.027
S 0.000 5.920 0.004
S 0.000 4.801 8.043
Np 1.986 5.060 6.132
S 1.986 3.447 1.960
S 1.986 7.501 7.110
Pm 1.986 6.177 9.762
Pm 1.986 6.362 2.269
```



No. 4
This record from the Alexandria database describes crystalline CuPRu2 at its relaxed geometry. The functional is GGA-PBE. Values from VASP.

Properties
Its space-group type is Pm (6). As for the total moment: 0.0 μB per formula unit. Its density of states at the Fermi level is 4.23 states/eV per cell. For the formation energy, the calculation gives 23 meV/atom. The calculation puts the volume at 13.40 A^3/atom. Its total energy is -6.991 eV/atom.

The structure in Quantum ESPRESSO input format:
```
&SYSTEM
  ibrav = 0, nat = 4, ntyp = 3
/
ATOMIC_SPECIES
P 30.97 P.upf
Ru 101.07 Ru.upf
Cu 63.55 Cu.upf
CELL_PARAMETERS angstrom
-1.508 -2.267 -2.616
2.421 -1.540 -0.061
-0.569 -3.701 3.534
ATOMIC_POSITIONS angstrom
P 1.145 -5.268 1.180
Ru 1.419 -4.918 3.443
Ru -0.468 -2.387 -0.386
Cu 1.027 -2.797 1.831
```



No. 5
This record from the Alexandria database describes crystalline Pt2PbF at its relaxed geometry. The functional is GGA-PBE. Values from VASP.

Properties
Its space-group type is I-42d (122). As for the total moment: 0.0 μB per formula unit. Its density of states at the Fermi level is 6.25 states/eV per cell. The value obtained for the energy above the lowest structure with this stoichiometry is 0.0000 eV/atom. The value obtained for the uncorrected formation energy is -0.8 eV/f.u. The calculation puts the volume at 17.70 A^3/atom. Its total energy is -4.611 eV/atom.

The structure in Quantum ESPRESSO input format:
```
&SYSTEM
  ibrav = 0, nat = 8, ntyp = 3
/
ATOMIC_SPECIES
Pt 195.08 Pt.upf
F 19.00 F.upf
Pb 207.20 Pb.upf
CELL_PARAMETERS angstrom
-1.250 -2.641 -6.656
-0.574 -6.698 2.766
-3.544 -4.300 -1.597
ATOMIC_POSITIONS angstrom
Pt -1.711 -3.503 -4.064
F -0.912 -4.669 -1.945
F -2.515 -7.834 -0.388
Pt -1.429 -5.651 0.347
Pb -2.853 -5.805 -5.099
Pt -4.241 -11.246 -4.664
Pt -3.355 -6.878 -2.595
Pb 0.000 0.000 0.000
```



No. 6
This record from the Alexandria database describes crystalline DyTlAg at its relaxed geometry. The functional is GGA-PBE. Values from VASP.

Properties
Its space-group type is F-43m (216). As for the total moment: 0.0 μB per formula unit. Its density of states at the Fermi level is 3.78 states/eV per cell. For the formation energy, the calculation gives -172 meV/atom. The calculation puts the volume at 26.63 A^3/atom. Its total energy is -3.445 eV/atom.

The structure in Quantum ESPRESSO input format:
```
&SYSTEM
  ibrav = 0, nat = 3, ntyp = 3
/
ATOMIC_SPECIES
Dy 162.50 Dy.upf
Ag 107.87 Ag.upf
Tl 204.38 Tl.upf
CELL_PARAMETERS angstrom
-3.341 2.618 -2.315
-4.571 0.022 1.573
-1.824 3.968 2.072
ATOMIC_POSITIONS angstrom
Dy 0.000 0.000 0.000
Ag -2.434 1.652 0.333
Tl -4.868 3.304 0.666
```



No. 7
This record from the Alexandria database describes crystalline TbEr2ZrS4 at its relaxed geometry. The functional is GGA-PBE. Values from VASP.

Properties
Its space-group type is P2/m (10). As for the total moment: 0.0 μB per formula unit. Its density of states at the Fermi level is 3.58 states/eV per cell. The value obtained for the uncorrected formation energy is -14.5 eV/f.u. The calculation puts the volume at 20.01 A^3/atom. Its total energy is -6.664 eV/atom.

The structure in Quantum ESPRESSO input format:
```
&SYSTEM
  ibrav = 0, nat = 8, ntyp = 4
/
ATOMIC_SPECIES
S 32.06 S.upf
Zr 91.22 Zr.upf
Tb 158.93 Tb.upf
Er 167.26 Er.upf
CELL_PARAMETERS angstrom
-3.054 -1.056 -2.086
3.032 -5.700 -1.553
-3.540 -0.794 5.582
ATOMIC_POSITIONS angstrom
S -1.886 -2.053 3.800
S 1.379 -4.441 0.229
Zr -0.011 -3.378 -1.820
Tb 0.000 0.000 0.000
S -1.643 -2.187 -0.034
Er -0.254 -3.247 2.015
S -1.919 -5.363 1.977
Er -3.297 -0.925 1.748
```



No. 8
This record from the Alexandria database describes crystalline Ca3SnPt8 at its relaxed geometry. The functional is GGA-PBE. Values from VASP.

Properties
Its space-group type is R3m (160). As for the total moment: 0.0 μB per formula unit. Its density of states at the Fermi level is 8.23 states/eV per cell. For the formation energy, the calculation gives -796 meV/atom. The calculation puts the volume at 18.97 A^3/atom. Its total energy is -5.657 eV/atom.

The structure in Quantum ESPRESSO input format:
```
&SYSTEM
  ibrav = 0, nat = 12, ntyp = 3
/
ATOMIC_SPECIES
Pt 195.08 Pt.upf
Ca 40.08 Ca.upf
Sn 118.71 Sn.upf
CELL_PARAMETERS angstrom
-2.611 3.365 3.414
-3.875 -1.944 3.317
3.926 -1.088 8.439
ATOMIC_POSITIONS angstrom
Pt -3.394 0.588 12.095
Ca -6.419 1.404 6.798
Ca -1.318 0.176 7.546
Pt -1.460 1.558 10.439
Pt 0.486 -0.206 4.938
Pt -0.792 -0.040 12.525
Pt -2.091 -1.092 10.390
Pt -4.045 -0.550 6.176
Pt -2.111 0.420 4.520
Sn -4.126 0.816 9.132
Pt -3.414 2.100 6.224
Ca 0.998 -0.418 9.903
```



No. 9
This record from the Alexandria database describes crystalline Nd2Sm3Dy6Pb at its relaxed geometry. The functional is GGA-PBE. Values from VASP.

Properties
Its space-group type is C2/m (12). As for the total moment: 0.0 μB per formula unit. Its density of states at the Fermi level is 13.36 states/eV per cell. For the formation energy, the calculation gives -68 meV/atom. The calculation puts the volume at 31.78 A^3/atom. Its total energy is -4.653 eV/atom.

The structure in Quantum ESPRESSO input format:
```
&SYSTEM
  ibrav = 0, nat = 12, ntyp = 4
/
ATOMIC_SPECIES
Dy 162.50 Dy.upf
Sm 150.36 Sm.upf
Nd 144.24 Nd.upf
Pb 207.20 Pb.upf
CELL_PARAMETERS angstrom
6.155 -0.002 0.009
-3.078 5.330 0.009
-1.049 -1.817 11.621
ATOMIC_POSITIONS angstrom
Dy -0.037 -0.063 8.726
Dy 3.041 1.786 8.748
Sm 4.081 -0.015 5.819
Dy -1.013 1.726 2.890
Sm -2.052 3.527 5.819
Sm 1.014 1.756 5.819
Nd 0.005 3.550 0.009
Dy 0.027 3.527 8.748
Pb 0.000 0.000 0.000
Dy 2.065 3.575 2.912
Nd 3.072 1.779 0.009
Dy 2.001 -0.015 2.890
```



No. 10
This record from the Alexandria database describes crystalline CsNpS2O8 at its relaxed geometry. The functional is GGA-PBE. Values from VASP.

Properties
Its space-group type is R-3 (148). As for the total moment: 4.0 μB per formula unit. Its density of states at the Fermi level is 5.47 states/eV per cell. The value obtained for the uncorrected formation energy is -22.5 eV/f.u. The calculation puts the volume at 18.48 A^3/atom. Its total energy is -7.019 eV/atom.

The structure in Quantum ESPRESSO input format:
```
&SYSTEM
  ibrav = 0, nat = 12, ntyp = 4
/
ATOMIC_SPECIES
O 16.00 O.upf
S 32.06 S.upf
Np 237.00 Np.upf
Cs 132.91 Cs.upf
CELL_PARAMETERS angstrom
-0.334 -1.547 -5.114
-0.591 -5.184 -1.195
-9.191 -1.299 -1.808
ATOMIC_POSITIONS angstrom
O -1.807 -3.146 -1.126
S -7.863 -5.993 -6.078
Np 0.000 0.000 0.000
Cs -5.058 -4.015 -4.058
O -1.801 -2.364 -3.434
O -6.412 -6.148 -6.126
S -2.253 -2.037 -2.038
O -8.309 -4.885 -6.991
O -8.546 -7.262 -6.510
O -3.704 -1.883 -1.990
O -8.316 -5.666 -4.683
O -1.570 -0.769 -1.607
```